Er2ThRh4 | PBE-GGA | optimized geometry

The volume comes out at 21.48 A^3/atom. Its formation energy is -627 meV per atom. The theoretical density is 10.80 g/cm³. As for the crystal system: trigonal.

The structure belongs to space group R-3m (No. 166, hexagonal axes); the cell edges are 4.7219, 4.7219 and 23.3627 Å and the angles 90.00°, 90.00° and 120.00°. The asymmetric unit holds Er at (0.0000, 0.0000, 0.2343), Th at (0.0000, 0.0000, 0.0000), Rh at (0.0000, 0.0000, 0.1168) and Rh at (0.0000, 0.0000, 0.3756).